Record 1
Computed, not measured: crystalline MgTaAlNi2 at its relaxed geometry at the GGA-PBE level of DFT.

The structure in POSCAR format:
```
MgTaAlNi2
1.0
-3.199 -3.088 1.026
-1.154 -0.500 -5.100
3.096 -3.331 -0.374
Ni Ta Al Mg
2 1 1 1
direct
0.000 0.000 0.500
0.500 0.000 0.000
0.000 0.000 0.000
0.500 0.500 0.500
0.000 0.500 0.000
```

Summary:
The energy relative to the elements is 1.285 eV per atom. Its symmetry is P4/mmm (123). For the density, the calculation gives 5.31 g cm⁻³.

---

Record 2
Computed, not measured: crystalline TbMgAlNi at its relaxed geometry at the GGA-PBE level of DFT.

The structure in POSCAR format:
```
TbMgAlNi
1.0
4.752 0.000 0.000
2.376 4.115 0.000
2.376 1.372 3.880
Ni Al Tb Mg
1 1 1 1
direct
0.250 0.250 0.250
0.750 0.750 0.750
0.000 0.000 0.000
0.500 0.500 0.500
```

Summary:
The energy relative to the elements is -0.250 eV per atom. Its symmetry is F-43m (216). For the density, the calculation gives 5.89 g cm⁻³.

---

Record 3
Computed, not measured: crystalline Tm2MgAl2Ni5 at its relaxed geometry at the GGA-PBE level of DFT.

The structure in POSCAR format:
```
Tm2MgAl2Ni5
1.0
-0.163 -3.139 -1.553
-3.550 -3.754 7.961
-8.791 1.943 -3.004
Ni Mg Al Tm
10 2 4 4
direct
0.500 0.937 0.218
0.500 0.282 0.563
0.500 0.063 0.782
0.500 0.500 0.000
0.500 0.437 0.282
0.500 0.718 0.437
0.500 0.563 0.718
0.500 0.000 0.500
0.500 0.218 0.063
0.500 0.782 0.937
0.000 0.000 0.000
0.000 0.500 0.500
0.000 0.115 0.615
0.000 0.615 0.885
0.000 0.885 0.385
0.000 0.385 0.115
0.000 0.819 0.681
0.000 0.681 0.181
0.000 0.181 0.319
0.000 0.319 0.819
```

Summary:
The energy relative to the elements is -0.369 eV per atom. Its symmetry is P4/mbm (127). For the density, the calculation gives 7.46 g cm⁻³.

---

Record 4
Computed, not measured: crystalline TmMgAlNi at its relaxed geometry at the GGA-PBE level of DFT.

The structure in POSCAR format:
```
TmMgAlNi
1.0
-0.366 4.254 1.776
-4.114 2.108 0.123
-2.151 0.640 4.044
Al Tm Mg Ni
1 1 1 1
direct
0.500 0.500 0.500
0.000 0.000 0.000
0.250 0.250 0.250
0.750 0.750 0.750
```

Summary:
The energy relative to the elements is -0.279 eV per atom. Its symmetry is F-43m (216). For the density, the calculation gives 6.62 g cm⁻³.